Entry 1:
Entry from the Alexandria database: Li5BiS4 after structural relaxation (PBE-GGA).

Unit cell a=11.2773 b=11.8017 c=11.9715 alpha=90.00 beta=90.00 gamma=90.00
Closest atoms and distances in Å follow each position.
Fractional coordinates of all 80 atoms:
Li 0.1116 0.1348 0.1486  4 S 2.44-2.56
Li 0.1116 0.3652 0.6486  4 S 2.44-2.56
Li 0.1286 0.5923 0.8559  4 S 2.45-2.52
Li 0.1286 0.9077 0.3559  4 S 2.45-2.52
Li 0.1387 0.6495 0.0938  4 S 2.40-2.54
Li 0.1387 0.8505 0.5938  4 S 2.40-2.54
Li 0.1440 0.6384 0.3633  4 S 2.44-2.59
Li 0.1440 0.8616 0.8633  4 S 2.44-2.59
Li 0.1461 0.1033 0.5999  4 S 2.41-2.59
Li 0.1461 0.3967 0.0999  4 S 2.41-2.59
Li 0.3539 0.6033 0.5999  4 S 2.41-2.59
Li 0.3539 0.8967 0.0999  4 S 2.41-2.59
Li 0.3560 0.1384 0.3633  4 S 2.44-2.59
Li 0.3560 0.3616 0.8633  4 S 2.44-2.59
Li 0.3613 0.1495 0.0938  4 S 2.40-2.54
Li 0.3613 0.3505 0.5938  4 S 2.40-2.54
Li 0.3714 0.0923 0.8559  4 S 2.45-2.52
Li 0.3714 0.4077 0.3559  4 S 2.45-2.52
Li 0.3884 0.6348 0.1486  4 S 2.44-2.56
Li 0.3884 0.8652 0.6486  4 S 2.44-2.56
Li 0.6116 0.1348 0.3514  4 S 2.44-2.56
Li 0.6116 0.3652 0.8514  4 S 2.44-2.56
Li 0.6286 0.5923 0.6441  4 S 2.45-2.52
Li 0.6286 0.9077 0.1441  4 S 2.45-2.52
Li 0.6387 0.6495 0.4062  4 S 2.40-2.54
Li 0.6387 0.8505 0.9062  4 S 2.40-2.54
Li 0.6440 0.6384 0.1367  4 S 2.44-2.59
Li 0.6440 0.8616 0.6367  4 S 2.44-2.59
Li 0.6461 0.1033 0.9001  4 S 2.41-2.59
Li 0.6461 0.3967 0.4001  4 S 2.41-2.59
Li 0.8539 0.6033 0.9001  4 S 2.41-2.59
Li 0.8539 0.8967 0.4001  4 S 2.41-2.59
Li 0.8560 0.1384 0.1367  4 S 2.44-2.59
Li 0.8560 0.3616 0.6367  4 S 2.44-2.59
Li 0.8613 0.1495 0.4062  4 S 2.40-2.54
Li 0.8613 0.3505 0.9062  4 S 2.40-2.54
Li 0.8714 0.0923 0.6441  4 S 2.45-2.52
Li 0.8714 0.4077 0.1441  4 S 2.45-2.52
Li 0.8884 0.6348 0.3514  4 S 2.44-2.56
Li 0.8884 0.8652 0.8514  4 S 2.44-2.56
Bi 0.0765 0.1469 0.8584  4 S 2.63-2.80
Bi 0.0765 0.3531 0.3584  4 S 2.63-2.80
Bi 0.4235 0.6469 0.8584  4 S 2.63-2.80
Bi 0.4235 0.8531 0.3584  4 S 2.63-2.80
Bi 0.5765 0.1469 0.6416  4 S 2.63-2.80
Bi 0.5765 0.3531 0.1416  4 S 2.63-2.80
Bi 0.9235 0.6469 0.6416  4 S 2.63-2.80
Bi 0.9235 0.8531 0.1416  4 S 2.63-2.80
S 0.0090 0.7316 0.9574  5 Li 2.40-2.45
S 0.0090 0.7684 0.4574  5 Li 2.40-2.45
S 0.0224 0.5330 0.2234  5 Li 2.45-2.59, 1 Bi 2.74
S 0.0224 0.9670 0.7234  5 Li 2.45-2.59, 1 Bi 2.74
S 0.2136 0.0263 0.9902  5 Li 2.52-2.59, 1 Bi 2.63
S 0.2136 0.4737 0.4902  5 Li 2.52-2.59, 1 Bi 2.63
S 0.2442 0.7266 0.7352  5 Li 2.48-2.53, 1 Bi 2.67
S 0.2442 0.7734 0.2352  5 Li 2.48-2.53, 1 Bi 2.67
S 0.2558 0.2266 0.7352  5 Li 2.48-2.53, 1 Bi 2.67
S 0.2558 0.2734 0.2352  5 Li 2.48-2.53, 1 Bi 2.67
S 0.2864 0.5263 0.9902  5 Li 2.52-2.59, 1 Bi 2.63
S 0.2864 0.9737 0.4902  5 Li 2.52-2.59, 1 Bi 2.63
S 0.4776 0.0330 0.2234  5 Li 2.45-2.59, 1 Bi 2.74
S 0.4776 0.4670 0.7234  5 Li 2.45-2.59, 1 Bi 2.74
S 0.4910 0.2316 0.9574  5 Li 2.40-2.45
S 0.4910 0.2684 0.4574  5 Li 2.40-2.45
S 0.5090 0.7316 0.5426  5 Li 2.40-2.45
S 0.5090 0.7684 0.0426  5 Li 2.40-2.45
S 0.5224 0.5330 0.2766  5 Li 2.45-2.59, 1 Bi 2.74
S 0.5224 0.9670 0.7766  5 Li 2.45-2.59, 1 Bi 2.74
S 0.7136 0.0263 0.5098  5 Li 2.52-2.59, 1 Bi 2.63
S 0.7136 0.4737 0.0098  5 Li 2.52-2.59, 1 Bi 2.63
S 0.7442 0.7266 0.7648  5 Li 2.48-2.53, 1 Bi 2.67
S 0.7442 0.7734 0.2648  5 Li 2.48-2.53, 1 Bi 2.67
S 0.7558 0.2266 0.7648  5 Li 2.48-2.53, 1 Bi 2.67
S 0.7558 0.2734 0.2648  5 Li 2.48-2.53, 1 Bi 2.67
S 0.7864 0.5263 0.5098  5 Li 2.52-2.59, 1 Bi 2.63
S 0.7864 0.9737 0.0098  5 Li 2.52-2.59, 1 Bi 2.63
S 0.9776 0.0330 0.2766  5 Li 2.45-2.59, 1 Bi 2.74
S 0.9776 0.4670 0.7766  5 Li 2.45-2.59, 1 Bi 2.74
S 0.9910 0.2316 0.5426  5 Li 2.40-2.45
S 0.9910 0.2684 0.0426  5 Li 2.40-2.45

Output
- V (Å³/atom) = 19.9
- mass density (g/cm3) = 3.10
- energy relative to the elements, uncorrected (kJ/mol of formula units) = -1004.4
- DFT total energy (eV/atom) = -4.0369

=====

Entry 2:
Entry from the Alexandria database: Li2BiS3 after structural relaxation (PBE-GGA).

Unit cell a=6.9521 b=6.9521 c=6.9521 alpha=140.24 beta=58.58 gamma=138.82
Closest atoms and distances in Å follow each position.
Fractional coordinates of all 6 atoms:
Li 0.1753 0.0000 0.1753  4 S 2.47-2.53
Li 0.8247 0.0000 0.8247  4 S 2.47-2.53
Bi 0.4877 0.9877 0.5000  4 S 2.52-2.63
S 0.0138 0.6804 0.3334  3 Li 2.47-2.53, 1 Bi 2.52
S 0.3470 0.6804 0.6666  3 Li 2.47-2.53, 1 Bi 2.52
S 0.7244 0.7244 0.0000  2 Li 2.52, 2 Bi 2.63

Output
- V (Å³/atom) = 23.4
- mass density (g/cm3) = 3.78
- energy relative to the elements, uncorrected (kJ/mol of formula units) = -400.8
- DFT total energy (eV/atom) = -4.0408

=====

Entry 3:
Entry from the Alexandria database: LiBi2S after structural relaxation (PBE-GGA).

Unit cell a=10.9201 b=10.9201 c=10.9201 alpha=155.75 beta=155.75 gamma=34.55
Closest atoms and distances in Å follow each position.
Fractional coordinates of all 8 atoms:
Li 0.0000 0.0000 0.0000  4 Bi 3.12, 4 S 3.24
Li 0.7500 0.2500 0.5000  4 Bi 3.12, 4 S 3.24
Bi 0.1521 0.6250 0.0271  2 S 3.03, 2 Bi 3.07, 2 Li 3.12
Bi 0.3750 0.4021 0.5271  2 S 3.03, 2 Bi 3.07, 2 Li 3.12
Bi 0.5979 0.1250 0.9729  2 S 3.03, 2 Bi 3.07, 2 Li 3.12
Bi 0.8750 0.8479 0.4729  2 S 3.03, 2 Bi 3.07, 2 Li 3.12
S 0.2500 0.7500 0.5000  4 Bi 3.03, 4 Li 3.24
S 0.5000 0.5000 0.0000  4 Bi 3.03, 4 Li 3.24

Output
- V (Å³/atom) = 27.4
- mass density (g/cm3) = 6.92
- energy relative to the elements, uncorrected (kJ/mol of formula units) = -48.6
- DFT total energy (eV/atom) = -3.5766

=====

Entry 4:
Entry from the Alexandria database: Li2Bi2S5 after structural relaxation (PBE-GGA).

Unit cell a=7.5480 b=7.5480 c=7.0892 alpha=92.78 beta=92.78 gamma=30.94
Closest atoms and distances in Å follow each position.
Fractional coordinates of all 9 atoms:
Li 0.1702 0.1702 0.2117  3 S 2.45
Li 0.8298 0.8298 0.7883  3 S 2.45
Bi 0.4387 0.4387 0.2778  3 S 2.59-2.69
Bi 0.5613 0.5613 0.7222  3 S 2.59-2.69
S 0.0000 0.0000 0.0000  2 Li 2.83, 4 Bi 2.98
S 0.1466 0.1466 0.5514  1 Li 2.45, 2 Bi 2.69
S 0.3241 0.3241 0.9854  2 Li 2.45, 1 Bi 2.59
S 0.6759 0.6759 0.0146  2 Li 2.45, 1 Bi 2.59
S 0.8534 0.8534 0.4486  1 Li 2.45, 2 Bi 2.69

Output
- V (Å³/atom) = 23.0
- mass density (g/cm3) = 4.74
- energy relative to the elements, uncorrected (kJ/mol of formula units) = -336.0
- DFT total energy (eV/atom) = -3.9677

=====

Entry 5:
Entry from the Alexandria database: Li2BiS after structural relaxation (PBE-GGA).

Unit cell a=4.7983 b=4.7983 c=4.7983 alpha=60.00 beta=60.00 gamma=60.00
Closest atoms and distances in Å follow each position.
Fractional coordinates of all 4 atoms:
Li 0.2500 0.2500 0.2500  4 S 2.94, 4 Bi 2.94
Li 0.7500 0.7500 0.7500  4 S 2.94, 4 Bi 2.94
Bi 0.0000 0.0000 0.0000  8 Li 2.94
S 0.5000 0.5000 0.5000  8 Li 2.94

Output
- V (Å³/atom) = 19.5
- mass density (g/cm3) = 5.42
- energy relative to the elements, uncorrected (kJ/mol of formula units) = -119.8
- DFT total energy (eV/atom) = -3.2694

=====

Entry 6:
Entry from the Alexandria database: LiBiS3 after structural relaxation (PBE-GGA).

Unit cell a=4.5405 b=4.5405 c=4.5405 alpha=90.00 beta=90.00 gamma=90.00
Closest atoms and distances in Å follow each position.
Fractional coordinates of all 5 atoms:
Li 0.0000 0.0000 0.0000  6 S 2.27
Bi 0.5000 0.5000 0.5000  12 S 3.21
S 0.0000 0.0000 0.5000  2 Li 2.27
S 0.0000 0.5000 0.0000  2 Li 2.27
S 0.5000 0.0000 0.0000  2 Li 2.27

Output
- V (Å³/atom) = 18.7
- mass density (g/cm3) = 5.54
- energy relative to the elements, uncorrected (kJ/mol of formula units) = 67.9
- DFT total energy (eV/atom) = -3.4946

=====

Among the records above, which one has the highest V?
LiBi2S

=====

Look up the energy relative to the elements, uncorrected of the sixth one.
67.9 kJ/mol of formula units

=====

What is the energy relative to the elements, uncorrected in the second record?
-400.8 kJ/mol of formula units

=====

What is the DFT total energy in the sixth record?
-3.4946 eV/atom